(1)
# Ac2MnAgS6 | Alexandria via LeMat-Bulk | PBE | relaxed
data_Ac2MnAgS6
_chemical_formula_sum 'Ac4 Mn2 Ag2 S12'
_space_group_name_H-M_alt 'P 1'
_space_group_IT_number 1
_cell_length_a 6.3865
_cell_length_b 7.4556
_cell_length_c 11.4065
_cell_angle_alpha 90.00
_cell_angle_beta 123.87
_cell_angle_gamma 90.00
loop_
_space_group_symop_operation_xyz
'x,y,z'
loop_
_atom_site_label
_atom_site_type_symbol
_atom_site_fract_x
_atom_site_fract_y
_atom_site_fract_z
Ac1 Ac 0.2079 0.1012 0.2524
Ac2 Ac 0.2079 0.3988 0.7524
Ac3 Ac 0.7921 0.6012 0.2476
Ac4 Ac 0.7921 0.8988 0.7476
Mn1 Mn 0.5000 0.0000 0.0000
Mn2 Mn 0.5000 0.5000 0.5000
Ag1 Ag 0.0000 0.0000 0.5000
Ag2 Ag 0.0000 0.5000 0.0000
S1 S 0.1560 0.1684 0.9617
S2 S 0.1560 0.3316 0.4617
S3 S 0.2931 0.7084 0.9562
S4 S 0.2931 0.7916 0.4562
S5 S 0.3483 0.0138 0.7589
S6 S 0.3483 0.4862 0.2589
S7 S 0.6517 0.5138 0.7411
S8 S 0.6517 0.9862 0.2411
S9 S 0.7069 0.2084 0.5438
S10 S 0.7069 0.2916 0.0438
S11 S 0.8440 0.6684 0.5383
S12 S 0.8440 0.8316 0.0383
# spin magnetization	0.306	μB per atom
# ΔE_f (raw)	-1.2080	eV/atom

***

(2)
# AcMn2AgSe4 | Alexandria via LeMat-Bulk | PBE | relaxed
data_AcMn2AgSe4
_chemical_formula_sum 'Ac2 Mn4 Ag2 Se8'
_space_group_name_H-M_alt 'P 1'
_space_group_IT_number 1
_cell_length_a 7.7181
_cell_length_b 7.7181
_cell_length_c 12.6722
_cell_angle_alpha 90.00
_cell_angle_beta 90.00
_cell_angle_gamma 147.75
loop_
_space_group_symop_operation_xyz
'x,y,z'
loop_
_atom_site_label
_atom_site_type_symbol
_atom_site_fract_x
_atom_site_fract_y
_atom_site_fract_z
Ac1 Ac 0.1020 0.8980 0.7500
Ac2 Ac 0.8980 0.1020 0.2500
Mn1 Mn 0.3941 0.6059 0.5515
Mn2 Mn 0.3941 0.6059 0.9485
Mn3 Mn 0.6059 0.3941 0.0515
Mn4 Mn 0.6059 0.3941 0.4485
Ag1 Ag 0.1675 0.8325 0.2500
Ag2 Ag 0.8325 0.1675 0.7500
Se1 Se 0.0000 0.0000 0.0000
Se2 Se 0.0000 0.0000 0.5000
Se3 Se 0.3017 0.6983 0.1093
Se4 Se 0.3017 0.6983 0.3907
Se5 Se 0.4389 0.5611 0.7500
Se6 Se 0.5611 0.4389 0.2500
Se7 Se 0.6983 0.3017 0.6093
Se8 Se 0.6983 0.3017 0.8907
# spin magnetization	1.241	μB per atom
# ΔE_f (raw)	-0.7468	eV/atom

***

Number 1: final energy -114.17 eV/cell. Number 2: final energy -90.42 eV/cell.